Run 1
Computed, not measured: an optimized crystal structure of TaFeP2Cl at the PBE level of DFT.

Cell lengths 4.327, 4.327, 4.518 Å; angles 90.00, 90.00, 90.00 degrees
Positions (direct):
Ta  0.000  0.000  0.000
Fe  0.500  0.500  0.500
P  0.000  0.500  0.500
P  0.500  0.000  0.500
Cl  0.500  0.500  0.000

Results
ρ in g/cm³: 6.6
Size of the total moment in μB/cell: 2.74

=====

Run 2
Computed, not measured: an optimized crystal structure of TaFeP2Cl at the PBE level of DFT.

Cell lengths 4.845, 4.845, 4.764 Å; angles 90.00, 90.00, 90.00 degrees
Positions (direct):
Ta  0.000  0.000  0.000
Fe  0.500  0.500  0.500
P  0.000  0.500  0.000
P  0.500  0.000  0.000
Cl  0.000  0.000  0.500

Results
ρ in g/cm³: 5.0
Size of the total moment in μB/cell: 3.76

=====

Winner for stability: run 2

=====

Run 1
Computed, not measured: an optimized crystal structure of FeTcPCl2 at the PBE level of DFT.

Cell lengths 4.388, 4.388, 5.179 Å; angles 90.00, 90.00, 90.00 degrees
Positions (direct):
Fe  0.000  0.000  0.000
Tc  0.500  0.500  0.500
P  0.000  0.000  0.500
Cl  0.000  0.500  0.000
Cl  0.500  0.000  0.000

Results
ρ in g/cm³: 4.3
Size of the total moment in μB/cell: 6.84

=====

Run 2
Computed, not measured: an optimized crystal structure of FeTcPCl2 at the PBE level of DFT.

Cell lengths 4.867, 4.867, 4.567 Å; angles 90.00, 90.00, 90.00 degrees
Positions (direct):
Fe  0.000  0.000  0.000
Tc  0.500  0.500  0.500
P  0.500  0.500  0.000
Cl  0.000  0.500  0.500
Cl  0.500  0.000  0.500

Results
ρ in g/cm³: 3.9
Size of the total moment in μB/cell: 3.95

=====

Winner for stability: run 2

=====

Run 1
Computed, not measured: an optimized crystal structure of FeTePCl2 at the PBE level of DFT.

Cell lengths 4.495, 4.495, 4.738 Å; angles 90.00, 90.00, 90.00 degrees
Positions (direct):
Fe  0.000  0.000  0.000
Te  0.500  0.500  0.500
P  0.000  0.000  0.500
Cl  0.000  0.500  0.000
Cl  0.500  0.000  0.000

Results
ρ in g/cm³: 4.9
Size of the total moment in μB/cell: 0.00

=====

Run 2
Computed, not measured: an optimized crystal structure of FeTePCl2 at the PBE level of DFT.

Cell lengths 5.149, 5.149, 5.391 Å; angles 90.00, 90.00, 90.00 degrees
Positions (direct):
Fe  0.000  0.000  0.000
Te  0.500  0.500  0.500
P  0.500  0.500  0.000
Cl  0.000  0.500  0.500
Cl  0.500  0.000  0.500

Results
ρ in g/cm³: 3.3
Size of the total moment in μB/cell: 3.72

=====

Winner for stability: run 1

=====

Run 1
Computed, not measured: an optimized crystal structure of VFePCl2 at the PBE level of DFT.

Cell lengths 4.579, 4.579, 4.362 Å; angles 90.00, 90.00, 90.00 degrees
Positions (direct):
V  0.000  0.000  0.000
Fe  0.500  0.500  0.500
P  0.500  0.500  0.000
Cl  0.000  0.500  0.500
Cl  0.500  0.000  0.500

Results
ρ in g/cm³: 3.8
Size of the total moment in μB/cell: 0.01

=====

Run 2
Computed, not measured: an optimized crystal structure of VFePCl2 at the PBE level of DFT.

Cell lengths 4.658, 4.658, 4.883 Å; angles 90.00, 90.00, 90.00 degrees
Positions (direct):
V  0.000  0.000  0.000
Fe  0.500  0.500  0.500
P  0.000  0.000  0.500
Cl  0.000  0.500  0.000
Cl  0.500  0.000  0.000

Results
ρ in g/cm³: 3.3
Size of the total moment in μB/cell: 5.54

=====

Winner for stability: run 2

=====

Run 1
Computed, not measured: an optimized crystal structure of FeP2WCl at the PBE level of DFT.

Cell lengths 4.699, 4.699, 4.850 Å; angles 90.00, 90.00, 90.00 degrees
Positions (direct):
Fe  0.000  0.000  0.000
P  0.000  0.500  0.500
P  0.500  0.000  0.500
W  0.500  0.500  0.500
Cl  0.500  0.500  0.000

Results
ρ in g/cm³: 5.2
Size of the total moment in μB/cell: 3.85

=====

Run 2
Computed, not measured: an optimized crystal structure of FeP2WCl at the PBE level of DFT.

Cell lengths 4.284, 4.284, 4.643 Å; angles 90.00, 90.00, 90.00 degrees
Positions (direct):
Fe  0.000  0.000  0.000
P  0.000  0.500  0.000
P  0.500  0.000  0.000
W  0.500  0.500  0.500
Cl  0.000  0.000  0.500

Results
ρ in g/cm³: 6.6
Size of the total moment in μB/cell: 3.62

=====

Winner for stability: run 1

=====

Run 1
Computed, not measured: an optimized crystal structure of ZrFeP2Cl at the PBE level of DFT.

Cell lengths 4.379, 4.379, 4.568 Å; angles 90.00, 90.00, 90.00 degrees
Positions (direct):
Zr  0.000  0.000  0.000
Fe  0.500  0.500  0.500
P  0.000  0.500  0.500
P  0.500  0.000  0.500
Cl  0.500  0.500  0.000

Results
ρ in g/cm³: 4.6
Size of the total moment in μB/cell: 1.58

=====

Run 2
Computed, not measured: an optimized crystal structure of ZrFeP2Cl at the PBE level of DFT.

Cell lengths 5.067, 5.067, 4.904 Å; angles 90.00, 90.00, 90.00 degrees
Positions (direct):
Zr  0.000  0.000  0.000
Fe  0.500  0.500  0.500
P  0.000  0.500  0.000
P  0.500  0.000  0.000
Cl  0.000  0.000  0.500

Results
ρ in g/cm³: 3.2
Size of the total moment in μB/cell: 3.82

=====

Winner for stability: run 1

=====

Run 1
Computed, not measured: an optimized crystal structure of FePbCl2 at the PBE level of DFT.

Cell lengths 4.096, 4.096, 11.418 Å; angles 90.00, 90.00, 90.00 degrees
Positions (direct):
Fe  0.000  0.000  0.000
Fe  0.500  0.500  0.500
Pb  0.000  0.500  0.750
Pb  0.500  0.000  0.250
Cl  0.000  0.000  0.500
Cl  0.000  0.500  0.250
Cl  0.500  0.000  0.750
Cl  0.500  0.500  0.000

Results
ρ in g/cm³: 5.8
Size of the total moment in μB/cell: 6.20

=====

Run 2
Computed, not measured: an optimized crystal structure of FePbCl2 at the PBE level of DFT.

Cell lengths 3.174, 3.174, 8.986 Å; angles 90.00, 90.00, 90.00 degrees
Positions (direct):
Fe  0.000  0.000  0.000
Pb  0.000  0.000  0.500
Cl  0.500  0.500  0.169
Cl  0.500  0.500  0.831

Results
ρ in g/cm³: 6.1
Size of the total moment in μB/cell: 3.54

=====

Run 3
Computed, not measured: an optimized crystal structure of FePbCl2 at the PBE level of DFT.

Cell lengths 11.521, 3.380, 5.533 Å; angles 90.00, 110.75, 90.00 degrees
Positions (direct):
Fe  0.000  0.000  0.000
Fe  0.500  0.500  0.000
Pb  0.000  0.500  0.500
Pb  0.500  0.000  0.500
Cl  0.158  0.500  0.183
Cl  0.342  0.000  0.817
Cl  0.658  0.000  0.183
Cl  0.842  0.500  0.817

Results
ρ in g/cm³: 5.5
Size of the total moment in μB/cell: 6.22

=====

Winner for stability: run 3

=====

Run 1
Computed, not measured: an optimized crystal structure of FePbCl2 at the PBE level of DFT.

Cell lengths 3.432, 3.432, 29.635 Å; angles 90.00, 90.00, 120.00 degrees
Positions (direct):
Fe  0.000  0.000  0.000
Fe  0.333  0.667  0.667
Fe  0.667  0.333  0.333
Pb  0.000  0.000  0.500
Pb  0.333  0.667  0.167
Pb  0.667  0.333  0.833
Cl  0.000  0.000  0.284
Cl  0.000  0.000  0.716
Cl  0.333  0.667  0.383
Cl  0.333  0.667  0.951
Cl  0.667  0.333  0.049
Cl  0.667  0.333  0.617

Results
ρ in g/cm³: 5.5
Size of the total moment in μB/cell: 11.35

=====

Run 2
Computed, not measured: an optimized crystal structure of FePbCl2 at the PBE level of DFT.

Cell lengths 6.633, 6.633, 10.196 Å; angles 90.00, 90.00, 90.00 degrees
Positions (direct):
Fe  0.000  0.000  0.000
Fe  0.000  0.500  0.250
Fe  0.500  0.000  0.750
Fe  0.500  0.500  0.500
Pb  0.000  0.000  0.500
Pb  0.000  0.500  0.750
Pb  0.500  0.000  0.250
Pb  0.500  0.500  0.000
Cl  0.143  0.250  0.125
Cl  0.250  0.643  0.375
Cl  0.250  0.857  0.875
Cl  0.357  0.250  0.625
Cl  0.643  0.750  0.625
Cl  0.750  0.143  0.875
Cl  0.750  0.357  0.375
Cl  0.857  0.750  0.125

Results
ρ in g/cm³: 4.9
Size of the total moment in μB/cell: 12.05

=====

Run 3
Computed, not measured: an optimized crystal structure of FePbCl2 at the PBE level of DFT.

Cell lengths 3.386, 3.387, 9.187 Å; angles 90.00, 100.49, 90.00 degrees
Positions (direct):
Fe  0.000  0.000  0.000
Pb  0.759  0.500  0.499
Cl  0.588  0.000  0.176
Cl  0.920  0.500  0.824

Results
ρ in g/cm³: 5.4
Size of the total moment in μB/cell: 3.44

=====

Winner for stability: run 1

=====

Run 1
Computed, not measured: an optimized crystal structure of FePbCl4 at the PBE level of DFT.

Cell lengths 5.937, 5.937, 5.937 Å; angles 60.00, 60.00, 60.00 degrees
Positions (direct):
Fe  0.000  0.000  0.000
Pb  0.750  0.750  0.750
Cl  0.374  0.374  0.374
Cl  0.374  0.374  0.877
Cl  0.374  0.877  0.374
Cl  0.877  0.374  0.374

Results
ρ in g/cm³: 4.5
Size of the total moment in μB/cell: 5.25

=====

Run 2
Computed, not measured: an optimized crystal structure of FePbCl4 at the PBE level of DFT.

Cell lengths 6.211, 6.211, 11.494 Å; angles 90.00, 90.00, 90.00 degrees
Positions (direct):
Fe  0.000  0.000  0.000
Fe  0.500  0.500  0.500
Pb  0.000  0.500  0.750
Pb  0.500  0.000  0.250
Cl  0.200  0.226  0.115
Cl  0.226  0.800  0.885
Cl  0.274  0.700  0.385
Cl  0.300  0.274  0.615
Cl  0.700  0.726  0.615
Cl  0.726  0.300  0.385
Cl  0.774  0.200  0.885
Cl  0.800  0.774  0.115

Results
ρ in g/cm³: 3.0
Size of the total moment in μB/cell: 8.00

=====

Winner for stability: run 2

=====

Run 1
Computed, not measured: an optimized crystal structure of FePbCl at the PBE level of DFT.

Cell lengths 3.342, 3.342, 7.627 Å; angles 90.00, 90.00, 120.00 degrees
Positions (direct):
Fe  0.000  0.000  0.000
Pb  0.667  0.333  0.300
Cl  0.333  0.667  0.814

Results
ρ in g/cm³: 6.7
Size of the total moment in μB/cell: 3.10

=====

Run 2
Computed, not measured: an optimized crystal structure of FePbCl at the PBE level of DFT.

Cell lengths 6.662, 6.662, 6.662 Å; angles 90.00, 90.00, 90.00 degrees
Positions (direct):
Fe  0.000  0.000  0.000
Fe  0.000  0.500  0.500
Fe  0.500  0.000  0.500
Fe  0.500  0.500  0.000
Pb  0.250  0.250  0.750
Pb  0.250  0.750  0.250
Pb  0.750  0.250  0.250
Pb  0.750  0.750  0.750
Cl  0.250  0.250  0.250
Cl  0.250  0.750  0.750
Cl  0.750  0.250  0.750
Cl  0.750  0.750  0.250

Results
ρ in g/cm³: 6.7
Size of the total moment in μB/cell: 11.03

=====

Winner for stability: run 1

=====

Run 1
Computed, not measured: an optimized crystal structure of FePbCl at the PBE level of DFT.

Cell lengths 4.654, 4.654, 3.351 Å; angles 90.00, 90.00, 120.00 degrees
Positions (direct):
Fe  0.000  0.000  0.000
Pb  0.333  0.667  0.500
Cl  0.667  0.333  0.000

Results
ρ in g/cm³: 7.9
Size of the total moment in μB/cell: 3.04

=====

Run 2
Computed, not measured: an optimized crystal structure of FePbCl at the PBE level of DFT.

Cell lengths 3.140, 3.140, 14.266 Å; angles 90.00, 90.00, 90.00 degrees
Positions (direct):
Fe  0.000  0.000  0.000
Fe  0.500  0.500  0.500
Pb  0.000  0.000  0.654
Pb  0.500  0.500  0.154
Cl  0.000  0.000  0.409
Cl  0.500  0.500  0.909

Results
ρ in g/cm³: 7.0
Size of the total moment in μB/cell: 6.04

=====

Run 3
Computed, not measured: an optimized crystal structure of FePbCl at the PBE level of DFT.

Cell lengths 3.886, 5.107, 14.548 Å; angles 90.00, 90.00, 90.00 degrees
Positions (direct):
Fe  0.000  0.000  0.000
Fe  0.000  0.500  0.500
Fe  0.500  0.000  0.500
Fe  0.500  0.500  0.000
Pb  0.000  0.000  0.652
Pb  0.000  0.500  0.152
Pb  0.500  0.000  0.152
Pb  0.500  0.500  0.652
Cl  0.000  0.000  0.404
Cl  0.000  0.500  0.904
Cl  0.500  0.000  0.904
Cl  0.500  0.500  0.404

Results
ρ in g/cm³: 6.9
Size of the total moment in μB/cell: 12.24

=====

Winner for stability: run 3

=====

Run 1
Computed, not measured: an optimized crystal structure of Fe3PbCl at the PBE level of DFT.

Cell lengths 5.125, 5.125, 5.125 Å; angles 90.00, 90.00, 90.00 degrees
Positions (direct):
Fe  0.000  0.000  0.500
Fe  0.000  0.500  0.000
Fe  0.500  0.000  0.000
Pb  0.000  0.000  0.000
Cl  0.500  0.500  0.500

Results
ρ in g/cm³: 5.1
Size of the total moment in μB/cell: 10.83

=====

Run 2
Computed, not measured: an optimized crystal structure of Fe3PbCl at the PBE level of DFT.

Cell lengths 4.330, 4.330, 4.330 Å; angles 90.00, 90.00, 90.00 degrees
Positions (direct):
Fe  0.000  0.000  0.500
Fe  0.000  0.500  0.000
Fe  0.500  0.000  0.000
Pb  0.500  0.500  0.500
Cl  0.000  0.000  0.000

Results
ρ in g/cm³: 8.4
Size of the total moment in μB/cell: 6.62

=====

Winner for stability: run 2

=====

Run 1
Computed, not measured: an optimized crystal structure of FePdCl2 at the PBE level of DFT.

Cell lengths 5.662, 5.662, 9.671 Å; angles 90.00, 90.00, 90.00 degrees
Positions (direct):
Fe  0.000  0.000  0.000
Fe  0.000  0.500  0.250
Fe  0.500  0.000  0.750
Fe  0.500  0.500  0.500
Pd  0.000  0.000  0.500
Pd  0.000  0.500  0.750
Pd  0.500  0.000  0.250
Pd  0.500  0.500  0.000
Cl  0.198  0.250  0.125
Cl  0.250  0.698  0.375
Cl  0.250  0.802  0.875
Cl  0.302  0.250  0.625
Cl  0.698  0.750  0.625
Cl  0.750  0.198  0.875
Cl  0.750  0.302  0.375
Cl  0.802  0.750  0.125

Results
ρ in g/cm³: 5.0
Size of the total moment in μB/cell: 0.00

=====

Run 2
Computed, not measured: an optimized crystal structure of FePdCl2 at the PBE level of DFT.

Cell lengths 6.429, 6.429, 6.429 Å; angles 90.00, 90.00, 90.00 degrees
Positions (direct):
Fe  0.000  0.000  0.000
Fe  0.000  0.500  0.500
Fe  0.500  0.000  0.500
Fe  0.500  0.500  0.000
Pd  0.000  0.000  0.500
Pd  0.000  0.500  0.000
Pd  0.500  0.000  0.000
Pd  0.500  0.500  0.500
Cl  0.250  0.250  0.250
Cl  0.250  0.250  0.750
Cl  0.250  0.750  0.250
Cl  0.250  0.750  0.750
Cl  0.750  0.250  0.250
Cl  0.750  0.250  0.750
Cl  0.750  0.750  0.250
Cl  0.750  0.750  0.750

Results
ρ in g/cm³: 5.8
Size of the total moment in μB/cell: 16.00

=====

Winner for stability: run 2